[1]
## Sm5Ge4 (meta-GGA SCAN)

Data for a PBEsol-optimized structure of Sm5Ge4.

Unit cell a=7.7037 b=14.7863 c=7.8122 alpha=90.00 beta=90.00 gamma=90.00
Last column: nearest neighbours and their distance in Å.
Fractional positions:
Sm  0.0193  0.1010  0.1800  6 Ge 2.99-3.27
Sm  0.0193  0.3990  0.1800  6 Ge 2.99-3.27
Sm  0.1248  0.6165  0.3384  6 Ge 2.88-3.09
Sm  0.1248  0.8835  0.3384  6 Ge 2.88-3.09
Sm  0.2087  0.2500  0.5015  6 Ge 2.99-3.18
Sm  0.2913  0.7500  0.0015  6 Ge 2.99-3.18
Sm  0.3752  0.1165  0.8384  6 Ge 2.88-3.09
Sm  0.3752  0.3835  0.8384  6 Ge 2.88-3.09
Sm  0.4807  0.6010  0.6800  6 Ge 2.99-3.27
Sm  0.4807  0.8990  0.6800  6 Ge 2.99-3.27
Sm  0.5193  0.1010  0.3200  6 Ge 2.99-3.27
Sm  0.5193  0.3990  0.3200  6 Ge 2.99-3.27
Sm  0.6248  0.6165  0.1616  6 Ge 2.88-3.09
Sm  0.6248  0.8835  0.1616  6 Ge 2.88-3.09
Sm  0.7087  0.2500  0.9985  6 Ge 2.99-3.18
Sm  0.7913  0.7500  0.4985  6 Ge 2.99-3.18
Sm  0.8752  0.1165  0.6616  6 Ge 2.88-3.09
Sm  0.8752  0.3835  0.6616  6 Ge 2.88-3.09
Sm  0.9807  0.6010  0.8200  6 Ge 2.99-3.27
Sm  0.9807  0.8990  0.8200  6 Ge 2.99-3.27
Ge  0.0806  0.2500  0.8885  1 Ge 2.67
Ge  0.1788  0.7500  0.6342  1 Ge 2.67
Ge  0.2165  0.0437  0.5346  6 Sm 2.88-3.16
Ge  0.2165  0.4563  0.5346  6 Sm 2.88-3.16
Ge  0.2835  0.5437  0.0346  6 Sm 2.88-3.16
Ge  0.2835  0.9563  0.0346  6 Sm 2.88-3.16
Ge  0.3212  0.2500  0.1342  1 Ge 2.67
Ge  0.4194  0.7500  0.3885  1 Ge 2.67
Ge  0.5806  0.2500  0.6115  1 Ge 2.67
Ge  0.6788  0.7500  0.8658  1 Ge 2.67
Ge  0.7165  0.0437  0.9654  6 Sm 2.88-3.16
Ge  0.7165  0.4563  0.9654  6 Sm 2.88-3.16
Ge  0.7835  0.5437  0.4654  6 Sm 2.88-3.16
Ge  0.7835  0.9563  0.4654  6 Sm 2.88-3.16
Ge  0.8212  0.2500  0.3658  1 Ge 2.67
Ge  0.9194  0.7500  0.1115  1 Ge 2.67

Properties
- E_form: -923 meV/atom
- Raw total energy: -34.10 eV/atom

---

[2]
## KNb3Au (meta-GGA SCAN)

Data for a PBEsol-optimized structure of KNb3Au.

Unit cell a=5.0684 b=5.0684 c=5.0684 alpha=90.00 beta=90.00 gamma=90.00
Last column: nearest neighbours and their distance in Å.
Fractional positions:
K  0.0000  0.0000  0.0000  12 Nb 3.58
Nb  0.0000  0.5000  0.5000  2 Au 2.53
Nb  0.5000  0.0000  0.5000  2 Au 2.53
Nb  0.5000  0.5000  0.0000  2 Au 2.53
Au  0.5000  0.5000  0.5000  6 Nb 2.53

Properties
- E_form: 1528 meV/atom
- Raw total energy: -33.85 eV/atom

---

[3]
## LiTc2Hg (meta-GGA SCAN)

Data for a PBEsol-optimized structure of LiTc2Hg.

Unit cell a=4.9434 b=9.0656 c=2.6940 alpha=90.00 beta=90.00 gamma=90.00
Last column: nearest neighbours and their distance in Å.
Fractional positions:
Li  0.0000  0.0000  0.0000  2 Hg 2.47, 2 Li 2.69
Li  0.5000  0.5000  0.0000  2 Hg 2.47, 2 Li 2.69
Tc  0.2500  0.2500  0.5000  4 Tc 2.47-2.69
Tc  0.2500  0.7500  0.5000  4 Tc 2.47-2.69
Tc  0.7500  0.2500  0.5000  4 Tc 2.47-2.69
Tc  0.7500  0.7500  0.5000  4 Tc 2.47-2.69
Hg  0.0000  0.5000  0.0000  2 Li 2.47, 2 Hg 2.69
Hg  0.5000  0.0000  0.0000  2 Li 2.47, 2 Hg 2.69

Properties
- E_form: 426 meV/atom
- Raw total energy: -34.74 eV/atom

---

[4]
## TaTe2Os (meta-GGA SCAN)

Data for a PBEsol-optimized structure of TaTe2Os.

Unit cell a=3.0979 b=3.0979 c=8.6138 alpha=90.00 beta=90.00 gamma=90.00
Last column: nearest neighbours and their distance in Å.
Fractional positions:
Ta  0.0000  0.0000  0.0000  4 Os 2.82, 4 Te 2.93, 4 Ta 3.10
Te  0.0000  0.0000  0.5952  4 Os 2.78, 4 Te 3.10
Te  0.5000  0.5000  0.2262  4 Ta 2.93, 4 Te 3.10
Os  0.5000  0.5000  0.7932  4 Te 2.78, 4 Ta 2.82, 4 Os 3.10

Properties
- Excess energy over the best structure of this formula in the dataset: 0 meV/atom
- Uncorrected formation energy: 0.16 eV/atom
- Raw total energy: -53.08 eV/atom

---

[5]
## Mn2ReOs (meta-GGA SCAN)

Data for a PBEsol-optimized structure of Mn2ReOs.

Unit cell a=2.8731 b=2.8731 c=6.0153 alpha=90.00 beta=90.00 gamma=90.00
Last column: nearest neighbours and their distance in Å.
Fractional positions:
Mn  0.0000  0.0000  0.0000  4 Mn 2.23
Mn  0.5000  0.5000  0.1512  4 Mn 2.23
Re  0.5000  0.5000  0.7169  5 Mn 2.61-2.65, 4 Os 2.65, 4 Re 2.87
Os  0.0000  0.0000  0.4343  5 Mn 2.61-2.65, 4 Re 2.65, 4 Os 2.87

Properties
- E_form: 153 meV/atom
- Raw total energy: -44.72 eV/atom

---

[6]
## BaSr2Ca (meta-GGA SCAN)

Data for a PBEsol-optimized structure of BaSr2Ca.

Unit cell a=4.0064 b=6.6140 c=7.5931 alpha=90.00 beta=98.93 gamma=90.00
Last column: nearest neighbours and their distance in Å.
Fractional positions:
Ba  0.0000  0.0000  0.0000  2 Ba 4.01, 2 Ca 4.01, 4 Sr 4.05
Sr  0.2568  0.5000  0.7448  4 Sr 3.96-4.06, 2 Ca 3.99, 2 Ba 4.05
Sr  0.7432  0.5000  0.2552  4 Sr 3.96-4.06, 2 Ca 3.99, 2 Ba 4.05
Ca  0.5000  0.0000  0.5000  4 Sr 3.99, 2 Ca 4.01, 2 Ba 4.01

Properties
- Excess energy over the best structure of this formula in the dataset: 7 meV/atom
- E_form: 33 meV/atom
- Raw total energy: -23.41 eV/atom

---

[7]
## CdTc2Hg (meta-GGA SCAN)

Data for a PBEsol-optimized structure of CdTc2Hg.

Unit cell a=2.9242 b=2.9242 c=8.0097 alpha=90.00 beta=90.00 gamma=90.00
Last column: nearest neighbours and their distance in Å.
Fractional positions:
Cd  0.0000  0.0000  0.0000  4 Cd 2.92, 4 Tc 2.94, 4 Hg 3.14
Tc  0.0000  0.0000  0.5621  4 Tc 2.51
Tc  0.5000  0.5000  0.7392  4 Tc 2.51
Hg  0.5000  0.5000  0.2954  4 Hg 2.92, 4 Tc 2.97, 4 Cd 3.14

Properties
- Excess energy over the best structure of this formula in the dataset: 0 meV/atom
- E_form: 141 meV/atom
- Raw total energy: -42.03 eV/atom

---

[8]
## Mg3BiSe (meta-GGA SCAN)

Data for a PBEsol-optimized structure of Mg3BiSe.

Unit cell a=5.0645 b=5.0645 c=5.0645 alpha=90.00 beta=90.00 gamma=90.00
Last column: nearest neighbours and their distance in Å.
Fractional positions:
Mg  0.0000  0.0000  0.5000  2 Se 2.53
Mg  0.0000  0.5000  0.0000  2 Se 2.53
Mg  0.5000  0.0000  0.0000  2 Se 2.53
Bi  0.5000  0.5000  0.5000  12 Mg 3.58
Se  0.0000  0.0000  0.0000  6 Mg 2.53

Properties
- Uncorrected formation energy: -0.26 eV/atom
- Raw total energy: -22.98 eV/atom